Entry 1:
Sm5Bi4S: relaxed, PBE.

Computed properties:
* DOS(E_F): 2.31 states/eV/f.u.
* electronic total energy: -5.41 eV per atom
* E above lowest polymorph: 0.33 kcal/mol of atoms
* E_form (uncorrected): -1.081 eV per atom

Lattice parameters (Å, degrees): 16.0385 16.0385 16.0385 163.95 163.95 22.77
Last column: nearest neighbours and their distance in Å.
Sites, in units of the cell vectors:
Sm 0.0000 0.0000 0.0000  2 Bi 3.12, 4 S 3.17
Sm 0.2012 0.2012 0.0000  6 Bi 3.17-3.23
Sm 0.4094 0.4094 0.0000  1 S 2.85, 4 Bi 3.18
Sm 0.5906 0.5906 0.0000  1 S 2.85, 4 Bi 3.18
Sm 0.7988 0.7988 0.0000  6 Bi 3.17-3.23
Bi 0.0992 0.0992 0.0000  6 Sm 3.12-3.21
Bi 0.3038 0.3038 0.0000  6 Sm 3.17-3.32
Bi 0.6962 0.6962 0.0000  6 Sm 3.17-3.32
Bi 0.9008 0.9008 0.0000  6 Sm 3.12-3.21
S 0.5000 0.5000 0.0000  6 Sm 2.85-3.17

---

Entry 2:
ScH2: relaxed, PBE.

Computed properties:
* DOS(E_F): 0.77 states/eV/f.u.
* electronic total energy: -5.04 eV per atom

Lattice parameters (Å, degrees): 4.7471 4.7471 4.7471 90.00 90.00 90.00
Last column: nearest neighbours and their distance in Å.
Sites, in units of the cell vectors:
Sc 0.0000 0.0000 0.0000  8 H 2.06
Sc 0.0000 0.5000 0.5000  8 H 2.06
Sc 0.5000 0.0000 0.5000  8 H 2.06
Sc 0.5000 0.5000 0.0000  8 H 2.06
H 0.2500 0.2500 0.2500  4 Sc 2.06
H 0.2500 0.2500 0.7500  4 Sc 2.06
H 0.2500 0.7500 0.2500  4 Sc 2.06
H 0.2500 0.7500 0.7500  4 Sc 2.06
H 0.7500 0.2500 0.2500  4 Sc 2.06
H 0.7500 0.2500 0.7500  4 Sc 2.06
H 0.7500 0.7500 0.2500  4 Sc 2.06
H 0.7500 0.7500 0.7500  4 Sc 2.06

---

Entry 3:
PmHg4Au2: relaxed, PBE.

Computed properties:
* DOS(E_F): 2.22 states/eV/f.u.
* electronic total energy: -2.01 eV per atom

Lattice parameters (Å, degrees): 4.2302 18.4759 4.2935 90.00 90.00 90.00
Last column: nearest neighbours and their distance in Å.
Sites, in units of the cell vectors:
Pm 0.0000 0.0000 0.0000  8 Au 3.30
Pm 0.5000 0.5000 0.0000  8 Au 3.30
Hg 0.0000 0.1833 0.5000  2 Au 2.95, 6 Hg 3.02-3.25
Hg 0.0000 0.3216 0.0000  2 Au 2.91, 4 Hg 3.02
Hg 0.0000 0.6784 0.0000  2 Au 2.91, 4 Hg 3.02
Hg 0.0000 0.8167 0.5000  2 Au 2.95, 6 Hg 3.02-3.25
Hg 0.5000 0.1784 0.0000  2 Au 2.91, 4 Hg 3.02
Hg 0.5000 0.3167 0.5000  2 Au 2.95, 6 Hg 3.02-3.25
Hg 0.5000 0.6833 0.5000  2 Au 2.95, 6 Hg 3.02-3.25
Hg 0.5000 0.8216 0.0000  2 Au 2.91, 4 Hg 3.02
Au 0.0000 0.4278 0.5000  1 Au 2.67, 4 Hg 2.91-2.95
Au 0.0000 0.5722 0.5000  1 Au 2.67, 4 Hg 2.91-2.95
Au 0.5000 0.0722 0.5000  1 Au 2.67, 4 Hg 2.91-2.95
Au 0.5000 0.9278 0.5000  1 Au 2.67, 4 Hg 2.91-2.95